Record 1
! VGe2F PBE with a Hubbard U optimized geometry; values from VASP
! density of states at the Fermi level: 0.225 states/eV/atom
! excess energy over the best structure of this formula in the dataset: 0.000 eV/atom
! space-group type: No. 122
! ρ: 4.425 g/cm³
&SYSTEM
  ibrav = 0, nat = 8, ntyp = 3
/
ATOMIC_SPECIES
V 50.94 V.upf
Ge 72.64 Ge.upf
F 19.00 F.upf
CELL_PARAMETERS angstrom
-4.454 4.454 2.036
4.454 -4.454 2.036
4.454 4.454 -2.036
ATOMIC_POSITIONS angstrom
V 0.000 0.000 0.000
V 0.000 4.454 1.018
Ge 2.227 -1.529 1.527
Ge 2.925 2.227 0.509
Ge 2.227 5.983 -0.509
Ge 1.529 2.227 2.544
F 4.454 0.000 1.018
F 0.000 0.000 2.036

***

Record 2
! VGeF2 PBE with a Hubbard U optimized geometry; values from VASP
! density of states at the Fermi level: 0.323 states/eV/atom
! excess energy over the best structure of this formula in the dataset: 0.000 eV/atom
! space-group type: No. 166
! ρ: 3.338 g/cm³
&SYSTEM
  ibrav = 0, nat = 4, ntyp = 3
/
ATOMIC_SPECIES
V 50.94 V.upf
Ge 72.64 Ge.upf
F 19.00 F.upf
CELL_PARAMETERS angstrom
1.574 0.909 9.370
-1.574 0.909 9.370
0.000 -1.817 9.370
ATOMIC_POSITIONS angstrom
V 0.000 0.000 0.000
Ge 0.000 0.000 14.055
F 0.000 0.000 10.426
F 0.000 0.000 17.683

***

Record 3
! VGe3F PBE with a Hubbard U optimized geometry; values from VASP
! density of states at the Fermi level: 0.717 states/eV/atom
! excess energy over the best structure of this formula in the dataset: 0.018 eV/atom
! space-group type: No. 221
! ρ: 4.419 g/cm³
&SYSTEM
  ibrav = 0, nat = 5, ntyp = 3
/
ATOMIC_SPECIES
V 50.94 V.upf
Ge 72.64 Ge.upf
F 19.00 F.upf
CELL_PARAMETERS angstrom
4.765 0.000 0.000
0.000 4.765 0.000
0.000 0.000 4.765
ATOMIC_POSITIONS angstrom
V 0.000 0.000 0.000
Ge 0.000 0.000 2.382
Ge 0.000 2.382 0.000
Ge 2.382 0.000 0.000
F 2.382 2.382 2.382

***

Record 4
! ZrV2GeF PBE with a Hubbard U optimized geometry; values from VASP
! density of states at the Fermi level: 0.522 states/eV/atom
! space-group type: No. 123
! ρ: 3.501 g/cm³
&SYSTEM
  ibrav = 0, nat = 5, ntyp = 4
/
ATOMIC_SPECIES
Zr 91.22 Zr.upf
V 50.94 V.upf
Ge 72.64 Ge.upf
F 19.00 F.upf
CELL_PARAMETERS angstrom
5.127 0.000 0.000
0.000 5.127 0.000
0.000 0.000 5.138
ATOMIC_POSITIONS angstrom
Zr 0.000 0.000 0.000
V 0.000 2.563 0.000
V 2.563 0.000 0.000
Ge 0.000 0.000 2.569
F 2.563 2.563 2.569

***

Record 5
! GeWF6 PBE with a Hubbard U optimized geometry; values from VASP
! density of states at the Fermi level: 0.000 states/eV/atom
! space-group type: No. 148
! ρ: 4.556 g/cm³
&SYSTEM
  ibrav = 0, nat = 8, ntyp = 3
/
ATOMIC_SPECIES
Ge 72.64 Ge.upf
W 183.84 W.upf
F 19.00 F.upf
CELL_PARAMETERS angstrom
2.769 1.599 5.082
-2.769 1.599 5.082
0.000 -3.198 5.082
ATOMIC_POSITIONS angstrom
Ge 0.000 0.000 0.000
W 0.000 0.000 7.622
F -1.606 0.195 6.410
F -0.972 -1.294 8.834
F 0.635 -1.488 6.410
F -0.635 1.488 8.834
F 0.972 1.294 6.410
F 1.606 -0.195 8.834

***

Record 6
! ZrGeW2F PBE with a Hubbard U optimized geometry; values from VASP
! density of states at the Fermi level: 0.399 states/eV/atom
! space-group type: No. 123
! ρ: 10.989 g/cm³
&SYSTEM
  ibrav = 0, nat = 5, ntyp = 4
/
ATOMIC_SPECIES
Zr 91.22 Zr.upf
Ge 72.64 Ge.upf
W 183.84 W.upf
F 19.00 F.upf
CELL_PARAMETERS angstrom
4.329 0.000 0.000
0.000 4.329 0.000
0.000 0.000 4.438
ATOMIC_POSITIONS angstrom
Zr 0.000 0.000 0.000
Ge 2.165 2.165 0.000
W 0.000 2.165 2.219
W 2.165 0.000 2.219
F 0.000 0.000 2.219

***

no.,raw total energy (eV/atom)
1,-4.821
2,-5.593
3,-4.366
4,-4.649
5,-5.333
6,-5.350